No. 1
# PBE-GGA Rb2MgZnBr6, relaxed
data_Rb2MgZnBr6
_chemical_formula_sum 'Rb2 Mg1 Zn1 Br6'
_cell_length_a 6.266
_cell_length_b 8.003
_cell_length_c 9.199
_cell_angle_alpha 104.00
_cell_angle_beta 90.91
_cell_angle_gamma 111.20
_space_group_name_H-M_alt 'P 1'
_space_group_IT_number 1
loop_
_space_group_symop_operation_xyz
'x,y,z'
loop_
_atom_site_label
_atom_site_type_symbol
_atom_site_fract_x
_atom_site_fract_y
_atom_site_fract_z
_atom_site_occupancy
Rb1 Rb 0.000 0.000 0.000 1
Rb2 Rb 0.499 0.998 0.501 1
Mg1 Mg 0.167 0.496 0.650 1
Zn1 Zn 0.837 0.497 0.345 1
Br1 Br 0.102 0.191 0.697 1
Br2 Br 0.237 0.493 0.375 1
Br3 Br 0.399 0.803 0.823 1
Br4 Br 0.605 0.200 0.183 1
Br5 Br 0.758 0.504 0.614 1
Br6 Br 0.885 0.788 0.296 1
# Raw total energy (eV for the cell shown): -29.0
# Raw formation energy (eV per atom): -1.42
# Crystal system: triclinic

No. 2
# PBE-GGA Cs3Ce2ThS6, relaxed
data_Cs3Ce2ThS6
_chemical_formula_sum 'Cs6 Ce4 Th2 S12'
_cell_length_a 7.354
_cell_length_b 12.735
_cell_length_c 8.464
_cell_angle_alpha 90.00
_cell_angle_beta 106.84
_cell_angle_gamma 90.00
_space_group_name_H-M_alt 'C 1 2/m 1'
_space_group_IT_number 12
loop_
_space_group_symop_operation_xyz
'x,y,z'
'-x,-y,-z'
'-x,y,-z'
'x,-y,z'
'x+1/2,y+1/2,z'
'-x+1/2,-y+1/2,-z'
'-x+1/2,y+1/2,-z'
'x+1/2,-y+1/2,z'
loop_
_atom_site_label
_atom_site_type_symbol
_atom_site_fract_x
_atom_site_fract_y
_atom_site_fract_z
_atom_site_occupancy
Cs1 Cs 0.000 0.000 0.000 1
Cs2 Cs 0.000 0.332 0.000 1
Ce1 Ce 0.000 0.167 0.500 1
Th1 Th 0.000 0.500 0.500 1
S1 S 0.225 0.337 0.686 1
S2 S 0.236 0.000 0.687 1
# Raw total energy (eV for the cell shown): -134.7
# Raw formation energy (eV per atom): -1.73
# Crystal system: monoclinic

No. 3
# PBE-GGA NiPRu2, relaxed
data_NiPRu2
_chemical_formula_sum 'Ni2 P2 Ru4'
_cell_length_a 2.791
_cell_length_b 4.105
_cell_length_c 9.165
_cell_angle_alpha 90.00
_cell_angle_beta 90.00
_cell_angle_gamma 90.00
_space_group_name_H-M_alt 'I m m m'
_space_group_IT_number 71
_space_group_name_Hall '-I 2 2'
loop_
_atom_site_label
_atom_site_type_symbol
_atom_site_fract_x
_atom_site_fract_y
_atom_site_fract_z
_atom_site_occupancy
Ni1 Ni 0.000 0.000 0.000 1
P1 P 0.000 0.000 0.500 1
Ru1 Ru 0.000 0.500 0.201 1
# Raw total energy (eV for the cell shown): -60.5
# Energy of formation from the pure elements (meV/atom): -127
# Crystal system: orthorhombic

No. 4
# PBE-GGA KZr2Mo, relaxed
data_KZr2Mo
_chemical_formula_sum 'K1 Zr2 Mo1'
_cell_length_a 2.915
_cell_length_b 2.915
_cell_length_c 11.376
_cell_angle_alpha 90.00
_cell_angle_beta 90.00
_cell_angle_gamma 90.00
_space_group_name_H-M_alt 'P 4 m m'
_space_group_IT_number 99
loop_
_space_group_symop_operation_xyz
'x,y,z'
'-y,x,z'
'-x,-y,z'
'y,-x,z'
'-x,y,z'
'y,x,z'
'x,-y,z'
'-y,-x,z'
loop_
_atom_site_label
_atom_site_type_symbol
_atom_site_fract_x
_atom_site_fract_y
_atom_site_fract_z
_atom_site_occupancy
K1 K 0.000 0.000 0.000 1
Zr1 Zr 0.000 0.000 0.470 1
Zr2 Zr 0.500 0.500 0.688 1
Mo1 Mo 0.500 0.500 0.267 1
# Raw total energy (eV for the cell shown): -26.1
# Energy of formation from the pure elements (meV/atom): 729
# Crystal system: tetragonal

No. 5
# PBE-GGA LiLuGa2, relaxed
data_LiLuGa2
_chemical_formula_sum 'Li3 Lu3 Ga6'
_cell_length_a 3.3170
_cell_length_b 3.3170
_cell_length_c 26.5768
_cell_angle_alpha 90.00
_cell_angle_beta 90.00
_cell_angle_gamma 120.00
_space_group_name_H-M_alt 'R -3 m'
_space_group_IT_number 166
_space_group_name_Hall '-R 3 2"'
loop_
_atom_site_label
_atom_site_type_symbol
_atom_site_fract_x
_atom_site_fract_y
_atom_site_fract_z
_atom_site_occupancy
Li1 Li 0.0000 0.0000 0.0000 1
Lu1 Lu 0.0000 0.0000 0.5000 1
Ga1 Ga 0.0000 0.0000 0.2540 1
# Raw total energy (eV for the cell shown): -39.4
# Energy of formation from the pure elements (meV/atom): -165
# Crystal system: trigonal

No. 6
# PBE-GGA MgInO2, relaxed
data_MgInO2
_chemical_formula_sum 'Mg4 In4 O8'
_cell_length_a 5.819
_cell_length_b 5.819
_cell_length_c 5.819
_cell_angle_alpha 90.00
_cell_angle_beta 90.00
_cell_angle_gamma 90.00
_space_group_name_H-M_alt 'F m -3 m'
_space_group_IT_number 225
_space_group_name_Hall '-F 4 2 3'
loop_
_atom_site_label
_atom_site_type_symbol
_atom_site_fract_x
_atom_site_fract_y
_atom_site_fract_z
_atom_site_occupancy
Mg1 Mg 0.000 0.000 0.000 1
In1 In 0.000 0.000 0.500 1
O1 O 0.250 0.250 0.250 1
# Raw total energy (eV for the cell shown): -73.3
# Raw formation energy (eV per atom): -1.02
# Crystal system: cubic

Question: The highest raw total energy belongs to which entry?
Answer: KZr2Mo